(1)
Below is Tb3TmPt2 after structural relaxation, with properties calculated at the PBE-GGA level.

ΔH_f (0 K) = -0.94 eV per atom
E = -6.0182 eV/atom
Fermi-level density of states = 11.9 states/eV/cell

Unit cell a=4.7721 b=7.1581 c=8.8308 alpha=90.00 beta=90.00 gamma=90.00
Atoms (fractional coordinates):
Tb 0.0000 0.4917 0.9160
Tb 0.0000 0.9917 0.0840
Tb 0.5000 0.6440 0.1694
Tb 0.5000 0.1440 0.8306
Tb 0.0000 0.3556 0.3338
Tb 0.0000 0.8556 0.6662
Tm 0.5000 0.5080 0.5844
Tm 0.5000 0.0080 0.4156
Pt 0.5000 0.7394 0.8408
Pt 0.5000 0.2394 0.1592
Pt 0.0000 0.2613 0.6558
Pt 0.0000 0.7613 0.3442

---

(2)
Below is Tb2Tm3Pt4 after structural relaxation, with properties calculated at the PBE-GGA level.

ΔH_f (0 K) = -1.06 eV per atom
E = -6.2609 eV/atom
Fermi-level density of states = 13.4 states/eV/cell

Unit cell a=7.3553 b=7.6989 c=8.4402 alpha=90.00 beta=115.83 gamma=90.00
Atoms (fractional coordinates):
Tb 0.1022 0.5991 0.2045
Tb 0.8978 0.4009 0.7955
Tb 0.3978 0.0991 0.7955
Tb 0.6022 0.9009 0.2045
Tm 0.0000 0.0000 0.0000
Tm 0.5000 0.5000 0.0000
Tm 0.5413 0.7500 0.5826
Tm 0.9587 0.2500 0.4174
Tm 0.4587 0.2500 0.4174
Tm 0.0413 0.7500 0.5826
Pt 0.7226 0.7500 0.9453
Pt 0.7774 0.2500 0.0547
Pt 0.2774 0.2500 0.0547
Pt 0.2226 0.7500 0.9453
Pt 0.1981 0.9526 0.3963
Pt 0.8019 0.0474 0.6037
Pt 0.3019 0.4526 0.6037
Pt 0.6981 0.5474 0.3963

---

(3)
Below is Tb2TmPt9 after structural relaxation, with properties calculated at the PBE-GGA level.

ΔH_f (0 K) = -1.04 eV per atom
E = -6.7167 eV/atom
Fermi-level density of states = 11.6 states/eV/cell

Unit cell a=4.1164 b=4.1164 c=12.3479 alpha=90.00 beta=90.00 gamma=90.00
Atoms (fractional coordinates):
Tb 0.0000 0.0000 0.3325
Tb 0.0000 0.0000 0.6675
Tm 0.0000 0.0000 0.0000
Pt 0.5000 0.5000 0.0000
Pt 0.5000 0.5000 0.3321
Pt 0.5000 0.5000 0.6679
Pt 0.5000 0.0000 0.1641
Pt 0.5000 0.0000 0.5000
Pt 0.5000 0.0000 0.8359
Pt 0.0000 0.5000 0.1641
Pt 0.0000 0.5000 0.5000
Pt 0.0000 0.5000 0.8359

---

(4)
Below is Tb5TmPt4 after structural relaxation, with properties calculated at the PBE-GGA level.

ΔH_f (0 K) = -0.99 eV per atom
E = -6.1681 eV/atom
Fermi-level density of states = 6.3 states/eV/cell

Unit cell a=4.1018 b=7.6917 c=9.6635 alpha=113.49 beta=102.25 gamma=90.00
Atoms (fractional coordinates):
Tb 0.8369 0.5955 0.6737
Tb 0.8369 0.0787 0.6739
Tb 0.1631 0.9213 0.3261
Tb 0.5000 0.5000 0.0000
Tb 0.1631 0.4045 0.3263
Tm 0.5000 0.0000 0.0000
Pt 0.2899 0.7899 0.5798
Pt 0.0000 0.7518 0.0000
Pt 0.7101 0.2101 0.4202
Pt 0.0000 0.2482 0.0000